No. 1
# InAgO2F

An optimized crystal structure of InAgO2F (PBE, Alexandria).

Its crystal system is tetragonal. As for the density: 6.043 g cm⁻³. The value obtained for the uncorrected formation energy is -833 meV/atom.

The space group is P4/mmm (No. 123) and the conventional cell measures 4.192, 4.192 and 4.280 Å, with angles of 90.00, 90.00 and 90.00 degrees. The inequivalent atoms are In at (0.000, 0.000, 0.000), Ag at (0.500, 0.500, 0.500), O at (0.000, 0.500, 0.000) and F at (0.000, 0.000, 0.500).


No. 2
# CaNbAlO5

An optimized crystal structure of CaNbAlO5 (PBE, Alexandria).

Its crystal system is monoclinic. As for the density: 3.803 g cm⁻³. The value obtained for the uncorrected formation energy is -2893 meV/atom.

The space group is C2/c (No. 15) and the conventional cell measures 6.814, 9.040 and 7.491 Å, with angles of 90.00, 114.74 and 90.00 degrees. The inequivalent atoms are Ca at (0.000, 0.168, 0.250), Nb at (0.000, 0.500, 0.000), Al at (0.000, 0.184, 0.750), O at (0.000, 0.425, 0.250), O at (0.104, 0.295, 0.614) and O at (0.191, 0.058, 0.911).


No. 3
# LiH2Os

An optimized crystal structure of LiH2Os (PBE, Alexandria).

As for the energy above the most stable polymorph in this dataset: 508 meV/atom. Its crystal system is cubic. As for the density: 11.269 g cm⁻³.

The space group is Fm-3m (No. 225) and the conventional cell measures 4.897, 4.897 and 4.897 Å, with angles of 90.00, 90.00 and 90.00 degrees. The inequivalent atoms are Li at (0.000, 0.000, 0.000), H at (0.250, 0.250, 0.250) and Os at (0.000, 0.000, 0.500).